ScCoGe2B: PBEsol geometry, meta-GGA SCAN. Values from VASP.

Properties
energy of formation: 0.20 eV per atom
calculated density: 5.6 g/cm³
spin magnetization: 0.0 μB/cell

Quantum ESPRESSO input file:
```
&SYSTEM
  ibrav = 0, nat = 5, ntyp = 4
/
ATOMIC_SPECIES
Sc 44.96 Sc.upf
Ge 72.64 Ge.upf
B 10.81 B.upf
Co 58.93 Co.upf
ATOMIC_POSITIONS angstrom
Sc 1.870 2.268 2.268
Ge 0.000 0.000 2.268
Ge 0.000 2.268 0.000
B 1.870 0.000 0.000
Co 0.000 0.000 0.000
CELL_PARAMETERS angstrom
3.741 0.000 0.000
0.000 4.537 0.000
0.000 0.000 4.537
```

---

GaH3O3: PBEsol geometry, meta-GGA SCAN. Values from VASP.

Properties
calculated density: 4.0 g/cm³
E_tot: -0.5824 Ry per atom
spin magnetization: 0.0 μB/cell

Quantum ESPRESSO input file:
```
&SYSTEM
  ibrav = 0, nat = 28, ntyp = 3
/
ATOMIC_SPECIES
Ga 69.72 Ga.upf
H 1.01 H.upf
O 16.00 O.upf
ATOMIC_POSITIONS angstrom
Ga -0.426 -1.791 -2.630
Ga -1.158 2.915 -0.517
Ga -4.717 0.916 -3.817
Ga -3.133 -0.208 -0.670
H -7.271 1.934 -4.690
H -2.346 1.340 -4.385
H -7.089 0.492 -3.248
H -2.164 -0.102 -2.943
H -3.473 1.873 -1.905
H -6.108 -1.981 -6.364
H -3.327 3.813 -1.269
H -5.961 -0.041 -5.729
H -6.817 4.370 -3.342
H -4.356 -1.456 -4.276
H -5.079 3.288 -3.357
H -2.618 -2.538 -4.291
O -7.744 2.204 -5.551
O -2.867 0.458 -4.368
O -6.568 1.374 -3.265
O -1.691 -0.372 -2.083
O -4.049 1.033 -1.908
O -6.819 -1.488 -5.815
O -2.616 3.320 -1.818
O -5.386 0.799 -5.726
O -6.328 4.035 -2.507
O -5.070 -1.026 -3.692
O -4.365 2.858 -3.942
O -3.107 -2.203 -5.126
CELL_PARAMETERS angstrom
-2.316 5.830 -1.033
-0.853 -3.582 -5.261
-6.266 -0.416 -1.340
```

---

BaSr2Eu: PBEsol geometry, meta-GGA SCAN. Values from VASP.

Properties
energy of formation: 0.06 eV per atom
calculated density: 3.9 g/cm³
spin magnetization: 8.1 μB/cell

Quantum ESPRESSO input file:
```
&SYSTEM
  ibrav = 0, nat = 4, ntyp = 3
/
ATOMIC_SPECIES
Eu 151.96 Eu.upf
Sr 87.62 Sr.upf
Ba 137.33 Ba.upf
ATOMIC_POSITIONS angstrom
Eu 0.000 0.000 0.000
Sr 5.329 -6.711 -8.483
Sr 1.776 -2.237 -2.828
Ba 3.553 -4.474 -5.655
CELL_PARAMETERS angstrom
-0.529 -2.314 -6.119
5.357 -0.653 -3.736
2.278 -5.981 -1.455
```

---

KSrTe2: PBEsol geometry, meta-GGA SCAN. Values from VASP.

Properties
calculated density: 4.2 g/cm³
E_form (uncorrected): -1.21 eV per atom
spin magnetization: 1.0 μB/cell

Quantum ESPRESSO input file:
```
&SYSTEM
  ibrav = 0, nat = 4, ntyp = 3
/
ATOMIC_SPECIES
K 39.10 K.upf
Sr 87.62 Sr.upf
Te 127.60 Te.upf
ATOMIC_POSITIONS angstrom
K 0.154 0.471 2.476
Sr -2.400 3.002 5.584
Te 0.360 1.099 5.775
Te -2.606 2.374 2.283
CELL_PARAMETERS angstrom
-0.859 4.598 -0.821
-4.662 -0.792 0.441
0.411 1.256 6.599
```

---

Ta3RhS6: PBEsol geometry, meta-GGA SCAN. Values from VASP.

Properties
calculated density: 8.3 g/cm³
E_form (uncorrected): -1.09 eV per atom
spin magnetization: 0.0 μB/cell

Quantum ESPRESSO input file:
```
&SYSTEM
  ibrav = 0, nat = 20, ntyp = 3
/
ATOMIC_SPECIES
Ta 180.95 Ta.upf
Rh 102.91 Rh.upf
S 32.06 S.upf
ATOMIC_POSITIONS angstrom
Ta 0.000 0.000 0.000
Ta 0.000 0.000 5.944
Ta 0.000 3.287 5.972
Ta 2.847 1.643 5.915
Ta 2.847 1.643 0.029
Ta 0.000 3.287 11.859
Rh 0.000 3.287 2.972
Rh 2.847 1.643 8.915
S 1.930 3.289 1.571
S 4.730 1.614 1.571
S 1.879 0.027 1.571
S 1.884 3.316 10.316
S -0.967 4.903 10.316
S -0.916 1.641 10.316
S 0.916 1.641 7.515
S -1.884 3.316 7.515
S 0.967 4.903 7.515
S 0.963 1.614 4.372
S 3.814 0.027 4.372
S 3.763 3.289 4.372
CELL_PARAMETERS angstrom
5.693 0.000 0.000
-2.847 4.930 0.000
0.000 0.000 11.887
```

---

KSbCl4: PBEsol geometry, meta-GGA SCAN. Values from VASP.

Properties
calculated density: 3.4 g/cm³
E_form (uncorrected): -0.05 eV per atom
spin magnetization: 1.9 μB/cell

Quantum ESPRESSO input file:
```
&SYSTEM
  ibrav = 0, nat = 6, ntyp = 3
/
ATOMIC_SPECIES
Sb 121.76 Sb.upf
K 39.10 K.upf
Cl 35.45 Cl.upf
ATOMIC_POSITIONS angstrom
Sb 0.000 0.000 0.000
K 8.887 5.131 3.628
Cl 7.411 2.562 1.812
Cl 4.438 2.562 1.812
Cl 5.924 3.420 4.239
Cl 5.924 5.137 1.812
CELL_PARAMETERS angstrom
5.924 0.000 0.000
2.962 5.131 0.000
2.962 1.710 4.837
```